# LaReRh2 | Alexandria via LeMat-Bulk | PBE | relaxed
data_LaReRh2
_chemical_formula_sum 'La1 Re1 Rh2'
_cell_length_a 2.879
_cell_length_b 3.898
_cell_length_c 6.618
_cell_angle_alpha 90.00
_cell_angle_beta 90.00
_cell_angle_gamma 90.00
_symmetry_space_group_name_H-M 'P m m 2'
_symmetry_Int_Tables_number 25
_symmetry_space_group_name_Hall 'P 2 -2'
loop_
_atom_site_label
_atom_site_type_symbol
_atom_site_fract_x
_atom_site_fract_y
_atom_site_fract_z
La1 La 0.000 0.000 0.000
Re1 Re 0.500 0.500 0.340
Rh1 Rh 0.000 0.000 0.494
Rh2 Rh 0.500 0.500 0.728
# magnetization = 0.000 μB/atom
# offset from the most stable computed form = 139 meV/atom